Here is Cs3RbGa at its PBEsol-relaxed geometry from Alexandria via LeMat-Bulk. Energies are from meta-GGA SCAN.

a b c (Å): 7.297 7.297 7.297
angles (deg): 90.00 90.00 90.00
Sites, in units of the cell vectors:
1 Cs 0.000 0.000 0.500
2 Cs 0.000 0.500 0.000
3 Cs 0.500 0.000 0.000
4 Rb 0.500 0.500 0.500
5 Ga 0.000 0.000 0.000

Energy of formation = 3.86 kcal/mol of atoms
Space-group type = No. 221
Calculated density = 2.37 g/cm3
V = 77.71 A^3/atom
DFT total energy = -29.94 eV per atom



Here is CsGaRe2 at its PBEsol-relaxed geometry from Alexandria via LeMat-Bulk. Energies are from meta-GGA SCAN.

a b c (Å): 4.600 4.600 4.600
angles (deg): 60.00 60.00 60.00
Sites, in units of the cell vectors:
1 Cs 0.000 0.000 0.000
2 Ga 0.500 0.500 0.500
3 Re 0.250 0.250 0.250
4 Re 0.750 0.750 0.750

Energy of formation = 51.20 kcal/mol of atoms
Space-group type = No. 225
Calculated density = 13.87 g/cm3
V = 17.21 A^3/atom
DFT total energy = -46.87 eV per atom



Here is CsScGaRh2 at its PBEsol-relaxed geometry from Alexandria via LeMat-Bulk. Energies are from meta-GGA SCAN.

a b c (Å): 4.888 4.888 5.319
angles (deg): 90.00 90.00 90.00
Sites, in units of the cell vectors:
1 Cs 0.000 0.000 0.000
2 Sc 0.500 0.500 0.500
3 Ga 0.000 0.000 0.500
4 Rh 0.000 0.500 0.000
5 Rh 0.500 0.000 0.000

Energy of formation = 39.18 kcal/mol of atoms
Space-group type = No. 123
Calculated density = 5.92 g/cm3
V = 25.42 A^3/atom
DFT total energy = -25.49 eV per atom



The lowest calculated density belongs to which entry?
Cs3RbGa